# GGA+U NaNiN2O, relaxed
data_NaNiN2O
_space_group_name_H-M_alt 'P 1'
_space_group_IT_number 1
_space_group_name_Hall 'P 1'
_cell_length_a 3.790
_cell_length_b 3.790
_cell_length_c 4.002
_cell_angle_alpha 90.00
_cell_angle_beta 90.00
_cell_angle_gamma 90.00
loop_
_atom_site_label
_atom_site_type_symbol
_atom_site_fract_x
_atom_site_fract_y
_atom_site_fract_z
Ni1 Ni 0.000 0.000 0.000
N1 N 0.500 0.000 0.000
N2 N 0.000 0.500 0.000
Na1 Na 0.500 0.500 0.500
O1 O 0.000 0.000 0.500
# Fermi-level density of states, states/eV/atom: 0.6633
# Total magnetic moment, Bohr magnetons per cell: 4.54
# Final energy, eV per atom: -4.16